# 1
# Ba2YTe PBE-GGA relaxed
data_Ba2YTe
_symmetry_space_group_name_H-M 'C 1 2/m 1'
_symmetry_Int_Tables_number 12
_cell_length_a 7.2049
_cell_length_b 10.3186
_cell_length_c 4.1691
_cell_angle_alpha 90.00
_cell_angle_beta 90.10
_cell_angle_gamma 90.00
loop_
_symmetry_equiv_pos_as_xyz
'x,y,z'
'-x,-y,-z'
'-x,y,-z'
'x,-y,z'
'x+1/2,y+1/2,z'
'-x+1/2,-y+1/2,-z'
'-x+1/2,y+1/2,-z'
'x+1/2,-y+1/2,z'
loop_
_atom_site_label
_atom_site_type_symbol
_atom_site_fract_x
_atom_site_fract_y
_atom_site_fract_z
Ba1 Ba 0.2500 0.2500 0.0000
Y1 Y 0.0000 0.0000 0.5000
Te1 Te 0.0000 0.5000 0.5000
# Total moment ... 0.6 μB/cell
# D(E_F) ... 12.15 states/eV per cell
# VASP energy ... -3.789 eV/atom

# 2
# ZnGaCl6 PBE-GGA relaxed
data_ZnGaCl6
_symmetry_space_group_name_H-M 'P -1'
_symmetry_Int_Tables_number 2
_cell_length_a 6.1613
_cell_length_b 6.1670
_cell_length_c 6.4880
_cell_angle_alpha 61.81
_cell_angle_beta 89.77
_cell_angle_gamma 60.15
loop_
_symmetry_equiv_pos_as_xyz
'x,y,z'
'-x,-y,-z'
loop_
_atom_site_label
_atom_site_type_symbol
_atom_site_fract_x
_atom_site_fract_y
_atom_site_fract_z
Zn1 Zn 0.0000 0.0000 0.0000
Ga1 Ga 0.5000 0.0000 0.5000
Cl1 Cl 0.0979 0.1596 0.2541
Cl2 Cl 0.2582 0.1561 0.7472
Cl3 Cl 0.4147 0.4870 0.2533
# Total moment ... 1.0 μB/cell
# D(E_F) ... 10.98 states/eV per cell
# VASP energy ... -2.641 eV/atom

# 3
# HfTi2Sn PBE-GGA relaxed
data_HfTi2Sn
_symmetry_space_group_name_H-M 'P 1 21/m 1'
_symmetry_Int_Tables_number 11
_cell_length_a 3.9833
_cell_length_b 3.9818
_cell_length_c 10.2118
_cell_angle_alpha 90.00
_cell_angle_beta 101.21
_cell_angle_gamma 90.00
loop_
_symmetry_equiv_pos_as_xyz
'x,y,z'
'-x,-y,-z'
'-x,y+1/2,-z'
'x,-y+1/2,z'
loop_
_atom_site_label
_atom_site_type_symbol
_atom_site_fract_x
_atom_site_fract_y
_atom_site_fract_z
Hf1 Hf 0.1974 0.2500 0.3958
Ti1 Ti 0.0508 0.7500 0.1021
Ti2 Ti 0.4497 0.7500 0.8992
Sn1 Sn 0.3439 0.2500 0.6867
# Total moment ... 0.0 μB/cell
# Energy of formation from the pure elements ... -0.2891 eV/atom
# D(E_F) ... 4.18 states/eV per cell
# VASP energy ... -7.726 eV/atom

# 4
# Be2InOs2 PBE-GGA relaxed
data_Be2InOs2
_symmetry_space_group_name_H-M 'P 4/m b m'
_symmetry_Int_Tables_number 127
_symmetry_space_group_name_Hall '-P 4 2ab'
_cell_length_a 6.9217
_cell_length_b 6.9217
_cell_length_c 2.8483
_cell_angle_alpha 90.00
_cell_angle_beta 90.00
_cell_angle_gamma 90.00
loop_
_atom_site_label
_atom_site_type_symbol
_atom_site_fract_x
_atom_site_fract_y
_atom_site_fract_z
Be1 Be 0.1564 0.3436 0.0000
In1 In 0.0000 0.0000 0.5000
Os1 Os 0.1316 0.6316 0.5000
# Offset from the most stable computed form ... 0.2120 eV per atom
# Total moment ... 0.0 μB/cell
# Energy of formation from the pure elements ... 0.2687 eV/atom
# D(E_F) ... 8.92 states/eV per cell
# VASP energy ... -6.261 eV/atom